A relaxed structure of HfMoRh2Pb, computed with PBE.

The density of states at the Fermi level comes out at 1.11 states/eV/atom. For the total energy, the calculation gives -35.2 eV/f.u. For the calculated formation energy, the calculation gives 802 meV per atom.

Cell lengths 4.749, 5.031, 4.749 Å; angles 90.00, 90.00, 90.00 degrees
Fractional positions:
Pb  0.500  0.500  0.500
Rh  0.000  0.000  0.500
Rh  0.500  0.000  0.000
Mo  0.000  0.000  0.000
Hf  0.000  0.500  0.000